This record from the Alexandria database describes a geometry-optimized VCrTeN2 structure. The functional is PBE.

abc: 3.7840 3.7840 5.5768
angles: 90.00 90.00 90.00
Space group P4/mmm (No. 123)
Inequivalent atoms, fractional coordinates:
V  0.0000  0.0000  0.0000 [1 per cell]
Cr  0.5000  0.5000  0.5000 [1 per cell]
Te  0.5000  0.5000  0.0000 [1 per cell]
N  0.0000  0.5000  0.5000 [2 per cell]

Computed properties:
DOS(E_F) in states/eV/atom: 0.781
ΔE_f (raw) in meV per atom: 636
Offset from the most stable computed form in meV per atom: 173

This record from the Alexandria database describes a geometry-optimized VCrTe2N structure. The functional is PBE.

abc: 5.3268 5.3268 3.5335
angles: 90.00 90.00 90.00
Space group P4/mmm (No. 123)
Inequivalent atoms, fractional coordinates:
V  0.0000  0.0000  0.0000 [1 per cell]
Cr  0.5000  0.5000  0.5000 [1 per cell]
Te  0.0000  0.5000  0.5000 [2 per cell]
N  0.5000  0.5000  0.0000 [1 per cell]

Computed properties:
DOS(E_F) in states/eV/atom: 0.806
ΔE_f (raw) in meV per atom: 292
Offset from the most stable computed form in meV per atom: 54

This record from the Alexandria database describes a geometry-optimized VCrTe2N structure. The functional is PBE.

abc: 5.4006 5.4006 3.6167
angles: 90.00 90.00 90.00
Space group P4/mmm (No. 123)
Inequivalent atoms, fractional coordinates:
V  0.0000  0.0000  0.0000 [1 per cell]
Cr  0.5000  0.5000  0.5000 [1 per cell]
Te  0.0000  0.5000  0.0000 [2 per cell]
N  0.0000  0.0000  0.5000 [1 per cell]

Computed properties:
DOS(E_F) in states/eV/atom: 0.827
ΔE_f (raw) in meV per atom: 238
Offset from the most stable computed form in meV per atom: 0

This record from the Alexandria database describes a geometry-optimized VCrTeN2 structure. The functional is PBE.

abc: 3.8147 3.8147 5.6677
angles: 90.00 90.00 90.00
Space group P4/mmm (No. 123)
Inequivalent atoms, fractional coordinates:
V  0.0000  0.0000  0.0000 [1 per cell]
Cr  0.5000  0.5000  0.5000 [1 per cell]
Te  0.0000  0.0000  0.5000 [1 per cell]
N  0.0000  0.5000  0.0000 [2 per cell]

Computed properties:
DOS(E_F) in states/eV/atom: 0.498
ΔE_f (raw) in meV per atom: 463
Offset from the most stable computed form in meV per atom: 0

This record from the Alexandria database describes a geometry-optimized CrTe2WN structure. The functional is PBE.

abc: 5.2702 5.2702 3.5035
angles: 90.00 90.00 90.00
Space group P4/mmm (No. 123)
Inequivalent atoms, fractional coordinates:
Cr  0.0000  0.0000  0.0000 [1 per cell]
Te  0.0000  0.5000  0.0000 [2 per cell]
W  0.5000  0.5000  0.5000 [1 per cell]
N  0.0000  0.0000  0.5000 [1 per cell]

Computed properties:
DOS(E_F) in states/eV/atom: 0.532
ΔE_f (raw) in meV per atom: 789
Offset from the most stable computed form in meV per atom: 0

This record from the Alexandria database describes a geometry-optimized CrTe2WN structure. The functional is PBE.

abc: 5.4184 5.4184 3.7873
angles: 90.00 90.00 90.00
Space group P4/mmm (No. 123)
Inequivalent atoms, fractional coordinates:
Cr  0.0000  0.0000  0.0000 [1 per cell]
Te  0.0000  0.5000  0.5000 [2 per cell]
W  0.5000  0.5000  0.5000 [1 per cell]
N  0.5000  0.5000  0.0000 [1 per cell]

Computed properties:
DOS(E_F) in states/eV/atom: 1.749
ΔE_f (raw) in meV per atom: 958
Offset from the most stable computed form in meV per atom: 169